Material: PmBi2Au
Method: DFT, GGA-PBE
State: optimized geometry

```
data_PmBi2Au
_chemical_formula_sum 'Pm3 Bi6 Au3'
_symmetry_space_group_name_H-M 'R -3 m'
_symmetry_Int_Tables_number 166
_symmetry_space_group_name_Hall '-R 3 2"'
_cell_length_a 5.1197
_cell_length_b 5.1197
_cell_length_c 23.9988
_cell_angle_alpha 90.00
_cell_angle_beta 90.00
_cell_angle_gamma 120.00
loop_
_atom_site_label
_atom_site_type_symbol
_atom_site_fract_x
_atom_site_fract_y
_atom_site_fract_z
_atom_site_occupancy
Pm1 Pm 0.0000 0.0000 0.0000 1
Bi1 Bi 0.0000 0.0000 0.3876 1
Au1 Au 0.0000 0.0000 0.5000 1
```

Calculated values
- DFT total energy: -3.84 eV/atom
- E_form: 0.4 eV/f.u.
- Magnetic moment: 0.00 μB per atom